This record from Alexandria via LeMat-Bulk describes ThZrPb2 after structural relaxation. The functional is GGA-PBE.

Values from the calculation:
density of states at the Fermi level: 2.5 states/eV per cell
total moment: 0.00 μB/f.u.

a b c (Å): 4.0224 4.0224 6.7047
angles (deg): 90.00 90.00 90.00
With the nearest neighbours (Å) after each atom.
Element x y z (fractional)
Th (0.0000, 0.0000, 0.0000)  2 Zr 3.35, 8 Pb 3.38
Zr (0.0000, 0.0000, 0.5000)  8 Pb 3.23, 2 Th 3.35
Pb (0.5000, 0.5000, 0.2717)  1 Pb 3.06, 4 Zr 3.23, 4 Th 3.38
Pb (0.5000, 0.5000, 0.7283)  1 Pb 3.06, 4 Zr 3.23, 4 Th 3.38

---

This record from Alexandria via LeMat-Bulk describes YTl3 after structural relaxation. The functional is GGA-PBE.

Values from the calculation:
density of states at the Fermi level: 2.8 states/eV per cell
total moment: 0.00 μB/f.u.

a b c (Å): 6.0763 6.0763 6.0763
angles (deg): 135.04 135.04 65.46
With the nearest neighbours (Å) after each atom.
Element x y z (fractional)
Y (0.0000, 0.0000, 0.0000)  12 Tl 3.29-3.45
Tl (0.2500, 0.7500, 0.5000)  8 Tl 3.29-3.45, 4 Y 3.45
Tl (0.5000, 0.5000, 0.0000)  4 Y 3.29, 8 Tl 3.45
Tl (0.7500, 0.2500, 0.5000)  8 Tl 3.29-3.45, 4 Y 3.45

---

no.,mass density (g cm⁻³),raw total energy (eV/f.u.),energy relative to the elements (eV/atom)
1,11.3,-24.1,-0.170
2,10.6,-14.3,-0.179